Material: TiMn2PPd
Method: DFT, GGA-PBE
State: relaxed

The structure in POSCAR format:
```
TiMn2PPd
1.0
-2.957 -3.045 -0.711
3.288 -2.984 -0.897
0.134 -1.101 4.158
P Mn Pd Ti
1 2 1 1
Direct
0.000 0.000 0.000 P
0.000 0.000 0.500 Mn
0.500 0.000 0.000 Mn
0.500 0.500 0.500 Pd
0.000 0.500 0.000 Ti
```

Computed properties:
DFT total energy in eV for the cell shown: -36.62
Energy relative to the elements in meV/atom: 43
Crystal system: tetragonal

Material: PmMn4P12
Method: DFT, GGA-PBE
State: relaxed

The structure in POSCAR format:
```
PmMn4P12
1.0
6.485 0.000 -2.293
-3.243 5.616 -2.293
0.000 0.000 6.878
Pm Mn P
1 4 12
Direct
0.000 0.000 0.000 Pm
0.000 0.500 0.000 Mn
0.500 0.000 0.000 Mn
0.500 0.500 0.500 Mn
0.000 0.000 0.500 Mn
0.853 0.353 0.206 P
0.353 0.500 0.147 P
0.794 0.147 0.647 P
0.353 0.206 0.853 P
0.206 0.853 0.353 P
0.647 0.500 0.853 P
0.500 0.147 0.353 P
0.500 0.853 0.647 P
0.647 0.794 0.147 P
0.853 0.647 0.500 P
0.147 0.353 0.500 P
0.147 0.647 0.794 P
```

Computed properties:
DFT total energy in eV for the cell shown: -114.18
Energy relative to the elements in meV/atom: -461
Crystal system: cubic

Material: PmMnP
Method: DFT, GGA-PBE
State: relaxed

The structure in POSCAR format:
```
PmMnP
1.0
3.871 0.000 0.000
0.000 5.647 -0.871
-1.935 -3.479 5.777
Pm P Mn
2 2 2
Direct
0.608 0.902 0.215 Pm
0.392 0.098 0.785 Pm
0.113 0.483 0.227 P
0.887 0.517 0.773 P
0.714 0.523 0.429 Mn
0.286 0.477 0.571 Mn
```

Computed properties:
DFT total energy in eV for the cell shown: -42.73
Energy relative to the elements in meV/atom: -679
Crystal system: monoclinic

Material: Pm2MnP
Method: DFT, GGA-PBE
State: relaxed

The structure in POSCAR format:
```
Pm2MnP
1.0
5.050 0.000 0.000
2.525 4.374 0.000
2.525 1.458 4.124
P Mn Pm
1 1 2
Direct
0.000 0.000 0.000 P
0.500 0.500 0.500 Mn
0.250 0.250 0.250 Pm
0.750 0.750 0.750 Pm
```

Computed properties:
DFT total energy in eV for the cell shown: -24.98
Energy relative to the elements in meV/atom: -224
Crystal system: cubic
Energy relative to the lowest polymorph listed for this composition in eV/atom: 0.131

Material: PmMn5P3
Method: DFT, GGA-PBE
State: relaxed

The structure in POSCAR format:
```
PmMn5P3
1.0
-2.132 3.068 0.432
0.096 -3.011 5.481
8.884 5.750 3.003
Pm Mn P
2 10 6
Direct
0.832 0.664 0.750 Pm
0.168 0.336 0.250 Pm
0.808 0.616 0.440 Mn
0.192 0.384 0.940 Mn
0.000 0.000 0.500 Mn
0.000 0.000 0.000 Mn
0.450 0.900 0.148 Mn
0.550 0.100 0.852 Mn
0.550 0.100 0.648 Mn
0.808 0.616 0.060 Mn
0.192 0.384 0.560 Mn
0.450 0.900 0.352 Mn
0.378 0.757 0.952 P
0.887 0.773 0.250 P
0.378 0.757 0.548 P
0.622 0.243 0.452 P
0.113 0.227 0.750 P
0.622 0.243 0.048 P
```

Computed properties:
DFT total energy in eV for the cell shown: -145.60
Energy relative to the elements in meV/atom: -663
Crystal system: orthorhombic

Material: PmMnP2
Method: DFT, GGA-PBE
State: relaxed

The structure in POSCAR format:
```
PmMnP2
1.0
-3.373 2.479 -0.966
-3.145 -1.529 -2.495
-5.744 -2.190 4.884
P Mn Pm
2 1 1
Direct
0.100 0.100 0.699 P
0.900 0.900 0.301 P
0.000 0.000 0.000 Mn
0.500 0.500 0.500 Pm
```

Computed properties:
DFT total energy in eV for the cell shown: -25.18
Energy relative to the elements in meV/atom: -109
Crystal system: trigonal

Material: PmMn9P4
Method: DFT, GGA-PBE
State: relaxed

The structure in POSCAR format:
```
PmMn9P4
1.0
-2.879 -5.678 -4.199
6.340 -4.076 1.165
-4.115 2.539 6.314
Pm Mn P
2 18 8
Direct
0.750 0.750 0.500 Pm
0.250 0.250 0.500 Pm
0.066 0.189 0.000 Mn
0.934 0.811 0.000 Mn
0.566 0.311 0.000 Mn
0.434 0.689 0.000 Mn
0.311 0.434 0.000 Mn
0.689 0.566 0.000 Mn
0.189 0.934 0.000 Mn
0.811 0.066 0.000 Mn
0.000 0.500 0.000 Mn
0.500 0.000 0.000 Mn
0.807 0.307 0.353 Mn
0.546 0.046 0.353 Mn
0.954 0.193 0.647 Mn
0.693 0.454 0.647 Mn
0.193 0.693 0.647 Mn
0.454 0.954 0.647 Mn
0.307 0.546 0.353 Mn
0.046 0.807 0.353 Mn
0.295 0.795 0.260 P
0.965 0.465 0.260 P
0.535 0.705 0.740 P
0.205 0.035 0.740 P
0.705 0.205 0.740 P
0.035 0.535 0.740 P
0.795 0.965 0.260 P
0.465 0.295 0.260 P
```

Computed properties:
DFT total energy in eV for the cell shown: -230.54
Energy relative to the elements in meV/atom: -454
Crystal system: tetragonal

Material: Pm2Mn12P7
Method: DFT, GGA-PBE
State: relaxed

The structure in POSCAR format:
```
Pm2Mn12P7
1.0
3.638 0.000 0.000
0.000 8.099 -4.676
0.000 0.000 9.352
Pm Mn P
2 12 7
Direct
0.500 0.000 0.000 Pm
0.000 0.667 0.333 Pm
0.500 0.896 0.622 Mn
0.500 0.726 0.104 Mn
0.500 0.378 0.274 Mn
0.500 0.229 0.789 Mn
0.500 0.560 0.771 Mn
0.500 0.211 0.440 Mn
0.000 0.059 0.547 Mn
0.000 0.488 0.941 Mn
0.000 0.453 0.511 Mn
0.000 0.756 0.715 Mn
0.000 0.959 0.244 Mn
0.000 0.285 0.041 Mn
0.000 0.333 0.667 P
0.000 0.041 0.782 P
0.000 0.741 0.959 P
0.000 0.218 0.259 P
0.500 0.613 0.542 P
0.500 0.930 0.387 P
0.500 0.458 0.070 P
```

Computed properties:
DFT total energy in eV for the cell shown: -171.34
Energy relative to the elements in meV/atom: -663
Crystal system: hexagonal

Material: Pm2MnP
Method: DFT, GGA-PBE
State: relaxed

The structure in POSCAR format:
```
Pm2MnP
1.0
-3.433 -1.355 -0.128
1.606 -4.254 1.946
-0.862 1.753 4.544
P Mn Pm
1 1 2
Direct
0.500 0.500 0.500 P
0.500 0.000 0.000 Mn
0.000 0.000 0.500 Pm
0.000 0.500 0.000 Pm
```

Computed properties:
DFT total energy in eV for the cell shown: -25.50
Energy relative to the elements in meV/atom: -355
Crystal system: tetragonal
Energy relative to the lowest polymorph listed for this composition in eV/atom: 0.000

Material: PmMn2P2
Method: DFT, GGA-PBE
State: relaxed

The structure in POSCAR format:
```
PmMn2P2
1.0
-3.479 -1.615 -0.654
1.739 -3.118 -1.548
1.024 0.200 5.636
Pm Mn P
1 2 2
Direct
0.000 0.000 0.000 Pm
0.750 0.250 0.500 Mn
0.250 0.750 0.500 Mn
0.639 0.639 0.279 P
0.361 0.361 0.721 P
```

Computed properties:
DFT total energy in eV for the cell shown: -38.44
Energy relative to the elements in meV/atom: -906
Crystal system: tetragonal

Material: Pm2MnP3Pt4
Method: DFT, GGA-PBE
State: relaxed

The structure in POSCAR format:
```
Pm2MnP3Pt4
1.0
4.184 0.000 0.000
0.000 4.184 0.000
0.000 0.000 10.181
Pm Mn P Pt
2 1 3 4
Direct
0.500 0.000 0.241 Pm
0.000 0.500 0.759 Pm
0.500 0.500 0.500 Mn
0.000 0.000 0.500 P
0.500 0.000 0.865 P
0.000 0.500 0.135 P
0.500 0.500 0.000 Pt
0.000 0.000 0.000 Pt
0.500 0.000 0.636 Pt
0.000 0.500 0.364 Pt
```

Computed properties:
DFT total energy in eV for the cell shown: -67.95
Energy relative to the elements in meV/atom: -888
Crystal system: tetragonal

Material: Pm3MnP2Pt9
Method: DFT, GGA-PBE
State: relaxed

The structure in POSCAR format:
```
Pm3MnP2Pt9
1.0
7.403 0.000 0.000
-3.701 6.411 0.000
0.000 0.000 6.292
Pm Mn P Pt
3 1 2 9
Direct
0.333 0.667 0.665 Pm
0.000 0.000 0.000 Pm
0.667 0.333 0.335 Pm
0.000 0.000 0.500 Mn
0.333 0.667 0.148 P
0.667 0.333 0.852 P
0.827 0.173 0.667 Pt
0.827 0.653 0.667 Pt
0.347 0.173 0.667 Pt
0.653 0.827 0.333 Pt
0.173 0.347 0.333 Pt
0.173 0.827 0.333 Pt
0.500 0.000 0.000 Pt
0.000 0.500 0.000 Pt
0.500 0.500 0.000 Pt
```

Computed properties:
DFT total energy in eV for the cell shown: -97.98
Energy relative to the elements in meV/atom: -625
Crystal system: trigonal

Material: PmMnP2Rh
Method: DFT, GGA-PBE
State: relaxed

The structure in POSCAR format:
```
PmMnP2Rh
1.0
3.990 0.000 0.000
0.000 3.990 0.000
-1.995 -1.995 4.941
Pm Mn P Rh
1 1 2 1
Direct
0.000 0.000 0.000 Pm
0.750 0.250 0.500 Mn
0.631 0.631 0.261 P
0.369 0.369 0.739 P
0.250 0.750 0.500 Rh
```

Computed properties:
DFT total energy in eV for the cell shown: -37.02
Energy relative to the elements in meV/atom: -987
Crystal system: tetragonal

Material: Pm2MnP3Rh4
Method: DFT, GGA-PBE
State: relaxed

The structure in POSCAR format:
```
Pm2MnP3Rh4
1.0
4.081 0.000 0.000
0.000 4.081 0.000
0.000 0.000 10.050
Pm Mn P Rh
2 1 3 4
Direct
0.500 0.000 0.251 Pm
0.000 0.500 0.749 Pm
0.500 0.500 0.500 Mn
0.000 0.000 0.500 P
0.500 0.000 0.864 P
0.000 0.500 0.136 P
0.500 0.500 0.000 Rh
0.000 0.000 0.000 Rh
0.500 0.000 0.634 Rh
0.000 0.500 0.366 Rh
```

Computed properties:
DFT total energy in eV for the cell shown: -73.92
Energy relative to the elements in meV/atom: -961
Crystal system: tetragonal

Material: Pm3MnP2Rh9
Method: DFT, GGA-PBE
State: relaxed

The structure in POSCAR format:
```
Pm3MnP2Rh9
1.0
6.068 0.000 0.000
-3.034 5.255 0.000
0.000 0.000 8.689
Pm Mn P Rh
3 1 2 9
Direct
0.333 0.667 0.641 Pm
0.000 0.000 0.000 Pm
0.667 0.333 0.359 Pm
0.000 0.000 0.500 Mn
0.333 0.667 0.164 P
0.667 0.333 0.836 P
0.846 0.154 0.707 Rh
0.846 0.692 0.707 Rh
0.308 0.154 0.707 Rh
0.692 0.846 0.293 Rh
0.154 0.308 0.293 Rh
0.154 0.846 0.293 Rh
0.500 0.000 0.000 Rh
0.000 0.500 0.000 Rh
0.500 0.500 0.000 Rh
```

Computed properties:
DFT total energy in eV for the cell shown: -108.44
Energy relative to the elements in meV/atom: -536
Crystal system: trigonal

Material: Pm2MnP4Rh3
Method: DFT, GGA-PBE
State: relaxed

The structure in POSCAR format:
```
Pm2MnP4Rh3
1.0
-2.527 1.921 -2.669
-3.054 -2.620 1.006
-2.781 5.879 6.865
Pm Mn P Rh
2 1 4 3
Direct
0.500 0.000 0.242 Pm
0.000 0.500 0.758 Pm
0.500 0.500 0.500 Mn
0.500 0.500 0.000 P
0.000 0.000 0.000 P
0.500 0.000 0.625 P
0.000 0.500 0.375 P
0.000 0.000 0.500 Rh
0.500 0.000 0.883 Rh
0.000 0.500 0.117 Rh
```

Computed properties:
DFT total energy in eV for the cell shown: -72.55
Energy relative to the elements in meV/atom: -1018
Crystal system: tetragonal

Material: PmMnTcP2
Method: DFT, GGA-PBE
State: relaxed

The structure in POSCAR format:
```
PmMnTcP2
1.0
4.011 0.000 0.000
0.000 4.011 0.000
-2.005 -2.005 5.050
Pm Mn Tc P
1 1 1 2
Direct
0.000 0.000 0.000 Pm
0.250 0.750 0.500 Mn
0.750 0.250 0.500 Tc
0.633 0.633 0.267 P
0.367 0.367 0.733 P
```

Computed properties:
DFT total energy in eV for the cell shown: -39.50
Energy relative to the elements in meV/atom: -878
Crystal system: tetragonal

Material: PmMnVP2
Method: DFT, GGA-PBE
State: relaxed

The structure in POSCAR format:
```
PmMnVP2
1.0
3.812 0.000 0.000
0.000 3.812 0.000
-1.906 -1.906 5.718
Pm Mn V P
1 1 1 2
Direct
0.000 0.000 0.000 Pm
0.250 0.750 0.500 Mn
0.750 0.250 0.500 V
0.629 0.629 0.259 P
0.371 0.371 0.741 P
```

Computed properties:
DFT total energy in eV for the cell shown: -38.38
Energy relative to the elements in meV/atom: -904
Crystal system: tetragonal

Material: Pr2MnP
Method: DFT, GGA-PBE
State: relaxed

The structure in POSCAR format:
```
Pr2MnP
1.0
3.944 0.000 0.000
1.972 3.415 0.000
1.972 1.138 9.592
Pr P Mn
2 1 1
Direct
0.108 0.108 0.675 Pr
0.892 0.892 0.325 Pr
0.500 0.500 0.500 P
0.000 0.000 0.000 Mn
```

Computed properties:
DFT total energy in eV for the cell shown: -24.38
Energy relative to the elements in meV/atom: -61
Crystal system: trigonal

Material: PrMn4P12
Method: DFT, GGA-PBE
State: relaxed

The structure in POSCAR format:
```
PrMn4P12
1.0
6.496 0.000 -2.297
-3.248 5.626 -2.297
0.000 0.000 6.890
Pr Mn P
1 4 12
Direct
0.000 0.000 0.000 Pr
0.000 0.500 0.000 Mn
0.500 0.000 0.000 Mn
0.500 0.500 0.500 Mn
0.000 0.000 0.500 Mn
0.852 0.354 0.206 P
0.354 0.502 0.148 P
0.794 0.148 0.646 P
0.354 0.206 0.852 P
0.206 0.852 0.354 P
0.646 0.498 0.852 P
0.502 0.148 0.354 P
0.498 0.852 0.646 P
0.646 0.794 0.148 P
0.852 0.646 0.498 P
0.148 0.354 0.502 P
0.148 0.646 0.794 P
```

Computed properties:
DFT total energy in eV for the cell shown: -114.18
Energy relative to the elements in meV/atom: -459
Crystal system: cubic

Material: Pr2MnP3Pt4
Method: DFT, GGA-PBE
State: relaxed

The structure in POSCAR format:
```
Pr2MnP3Pt4
1.0
-1.817 3.641 -1.187
-3.304 -0.826 2.524
4.604 4.773 7.590
Pr Mn P Pt
2 1 3 4
Direct
0.500 0.000 0.244 Pr
0.000 0.500 0.756 Pr
0.500 0.500 0.500 Mn
0.000 0.000 0.500 P
0.500 0.000 0.867 P
0.000 0.500 0.133 P
0.500 0.500 0.000 Pt
0.000 0.000 0.000 Pt
0.500 0.000 0.633 Pt
0.000 0.500 0.367 Pt
```

Computed properties:
DFT total energy in eV for the cell shown: -67.95
Energy relative to the elements in meV/atom: -883
Crystal system: tetragonal

Material: Pr2MnP4Pt3
Method: DFT, GGA-PBE
State: relaxed

The structure in POSCAR format:
```
Pr2MnP4Pt3
1.0
4.214 0.000 0.000
0.000 4.214 0.000
0.000 0.000 9.735
Pr Mn P Pt
2 1 4 3
Direct
0.500 0.000 0.247 Pr
0.000 0.500 0.753 Pr
0.500 0.500 0.500 Mn
0.500 0.500 0.000 P
0.000 0.000 0.000 P
0.500 0.000 0.628 P
0.000 0.500 0.372 P
0.000 0.000 0.500 Pt
0.500 0.000 0.880 Pt
0.000 0.500 0.120 Pt
```

Computed properties:
DFT total energy in eV for the cell shown: -67.62
Energy relative to the elements in meV/atom: -913
Crystal system: tetragonal